# 1
This record from Alexandria via LeMat-Bulk describes CeNi4Ge2 after structural relaxation. The functional is PBE.

Results
Fermi-level density of states   7.38 states/eV/cell
ΔE_f   -0.46 eV/atom

Cell and atoms, written as POSCAR:
```
CeNi4Ge2
1.0
-0.2117 -2.8118 -2.9109
3.1602 -0.6084 -2.4633
3.6724 -6.2114 2.9117
Ce Ni Ge
1 4 2
Cartesian
0.0000 0.0000 0.0000
4.0873 -5.5674 -3.3829
2.5336 -4.0642 0.9204
3.7849 -5.7104 -0.4017
2.8360 -3.9213 -2.0609
4.9485 -7.1915 -1.8768
1.6723 -2.4402 -0.5857
```

=====

# 2
This record from Alexandria via LeMat-Bulk describes ZrPaCoNi after structural relaxation. The functional is PBE.

Results
Fermi-level density of states   4.18 states/eV/cell
Energy above the lowest structure with this stoichiometry   0 meV/atom
ΔE_f   -0.37 eV/atom

Cell and atoms, written as POSCAR:
```
ZrPaCoNi
1.0
-0.7072 -0.9204 -3.2293
4.1525 -0.4609 -0.7780
0.0956 -4.2029 3.0002
Pa Co Zr Ni
1 1 1 1
Cartesian
-0.0724 -1.3096 0.3891
-0.2126 -3.8425 1.1417
1.5364 -4.0585 -1.0029
1.6781 -1.4970 -1.7640
```

=====

# 3
This record from Alexandria via LeMat-Bulk describes B2C after structural relaxation. The functional is PBE.

Results
Fermi-level density of states   2.17 states/eV/cell
Energy above the lowest structure with this stoichiometry   178 meV/atom
ΔE_f   0.36 eV/atom

Cell and atoms, written as POSCAR:
```
B2C
1.0
3.9493 2.2692 -0.0557
-3.9493 2.2692 -0.0557
0.0000 1.3954 4.5138
C B
4 8
Cartesian
0.0000 2.9688 2.7264
0.0000 4.4278 2.2786
2.6659 2.9056 2.7025
-2.6659 2.9056 2.7025
1.3326 2.1581 2.4069
0.0000 4.1534 0.6597
2.3924 3.1323 4.3011
-1.3326 2.1581 2.4069
-0.9116 2.5164 0.5095
0.0000 2.5403 4.3223
0.9116 2.5164 0.5095
-2.3924 3.1323 4.3011
```

=====

# 4
This record from Alexandria via LeMat-Bulk describes PmPr2As3Rh4 after structural relaxation. The functional is PBE.

Results
Fermi-level density of states   6.34 states/eV/cell
ΔE_f   -0.92 eV/atom

Cell and atoms, written as POSCAR:
```
PmPr2As3Rh4
1.0
4.1861 0.0000 0.0000
0.0000 4.1861 0.0000
0.0000 0.0000 11.4848
Rh Pm As Pr
4 1 3 2
Cartesian
2.0931 0.0000 7.6019
0.0000 0.0000 0.0000
0.0000 2.0931 3.8828
2.0931 2.0931 0.0000
2.0931 2.0931 5.7424
0.0000 2.0931 1.4497
0.0000 0.0000 5.7424
2.0931 0.0000 10.0350
0.0000 2.0931 8.9335
2.0931 0.0000 2.5513
```

=====

# 5
This record from Alexandria via LeMat-Bulk describes Hf2Mn2Nb after structural relaxation. The functional is PBE.

Results
Fermi-level density of states   10.95 states/eV/cell
ΔE_f   -0.04 eV/atom

Cell and atoms, written as POSCAR:
```
Hf2Mn2Nb
1.0
-1.8792 -4.6083 3.8391
4.9030 1.1370 3.7649
-2.3907 2.8512 2.2523
Mn Hf Nb
4 4 2
Cartesian
3.6084 -0.7596 4.7917
1.3685 -3.3654 5.7128
1.6553 -0.1060 1.8911
-0.5846 -2.7117 2.8122
1.5488 -0.7745 6.8239
1.7998 1.3700 4.3756
-1.1667 -1.9902 5.4806
-0.9156 0.1543 3.0323
0.0000 0.0000 0.0000
1.5119 -1.7357 3.8020
```

=====

# 6
This record from Alexandria via LeMat-Bulk describes Cs2Na2Cu after structural relaxation. The functional is PBE.

Results
Fermi-level density of states   5.61 states/eV/cell
Energy above the lowest structure with this stoichiometry   46 meV/atom
ΔE_f   0.28 eV/atom

Cell and atoms, written as POSCAR:
```
Cs2Na2Cu
1.0
8.5232 0.0000 0.0000
0.0000 8.5232 0.0000
0.0000 0.0000 6.6202
Cs Na Cu
4 4 2
Cartesian
6.8888 2.6272 3.3101
5.8960 6.8888 3.3101
1.6344 5.8960 3.3101
2.6272 1.6344 3.3101
1.2733 2.9883 0.0000
2.9883 7.2499 0.0000
7.2499 5.5349 0.0000
5.5349 1.2733 0.0000
0.0000 0.0000 0.0000
4.2616 4.2616 0.0000
```

=====

# 7
This record from Alexandria via LeMat-Bulk describes TbEuTmSc after structural relaxation. The functional is PBE.

Results
Fermi-level density of states   7.62 states/eV/cell
ΔE_f   0.18 eV/atom

Cell and atoms, written as POSCAR:
```
TbEuTmSc
1.0
-4.0618 -3.2287 -2.0862
1.2491 -4.0762 -3.6194
-0.4011 -5.3527 1.5693
Tm Tb Sc Eu
1 1 1 1
Cartesian
0.0000 0.0000 0.0000
-1.6069 -6.3288 -2.0681
-0.8035 -3.1644 -1.0341
-2.4104 -9.4932 -3.1022
```

=====

# 8
This record from Alexandria via LeMat-Bulk describes TlRe3B after structural relaxation. The functional is PBE.

Results
Fermi-level density of states   7.64 states/eV/cell
Energy above the lowest structure with this stoichiometry   3580 meV/atom
ΔE_f   4.29 eV/atom

Cell and atoms, written as POSCAR:
```
TlRe3B
1.0
4.9763 0.0000 0.0000
0.0000 4.9763 0.0000
0.0000 0.0000 4.9763
Re Tl B
3 1 1
Cartesian
2.4882 0.0000 0.0000
0.0000 0.0000 2.4882
0.0000 2.4882 0.0000
0.0000 0.0000 0.0000
2.4882 2.4882 2.4882
```

=====

# 9
This record from Alexandria via LeMat-Bulk describes YFe2Rh after structural relaxation. The functional is PBE.

Results
Fermi-level density of states   4.42 states/eV/cell
ΔE_f   0.47 eV/atom

Cell and atoms, written as POSCAR:
```
YFe2Rh
1.0
9.0395 -0.0899 -0.0528
8.5840 2.8349 -0.0528
8.5840 1.3370 2.5004
Fe Rh Y
2 1 1
Cartesian
25.9416 4.0405 2.3705
13.3697 2.0824 1.2217
6.5519 1.0205 0.5987
19.6556 3.0615 1.7961
```

=====

# 10
This record from Alexandria via LeMat-Bulk describes MgTi2FeC after structural relaxation. The functional is PBE.

Results
Fermi-level density of states   6.53 states/eV/cell
ΔE_f   0.65 eV/atom

Cell and atoms, written as POSCAR:
```
MgTi2FeC
1.0
4.6381 0.0000 0.0000
0.0000 4.6381 0.0000
0.0000 0.0000 3.6550
Fe Ti C Mg
1 2 1 1
Cartesian
0.0000 0.0000 0.0000
2.3190 0.0000 0.0000
0.0000 2.3190 0.0000
0.0000 0.0000 1.8275
2.3190 2.3190 1.8275
```

=====

# 11
This record from Alexandria via LeMat-Bulk describes ScTaAs after structural relaxation. The functional is PBE.

Results
Fermi-level density of states   7.30 states/eV/cell
ΔE_f   -0.55 eV/atom

Cell and atoms, written as POSCAR:
```
ScTaAs
1.0
5.5354 0.0000 -0.0006
0.0000 3.5664 0.0000
-0.3883 0.0000 11.2812
As Sc Ta
4 4 4
Cartesian
4.1105 0.0000 1.2382
1.0814 1.7832 3.8339
3.9164 1.7832 6.8788
0.8872 0.0000 9.4745
5.0807 1.7832 10.9648
1.1942 1.7832 7.5239
5.2749 0.0000 5.3242
1.3884 0.0000 1.8833
2.3578 1.7832 10.8860
2.5520 0.0000 5.2453
3.7701 1.7832 3.1767
3.5760 0.0000 8.8173
```

=====

# 12
This record from Alexandria via LeMat-Bulk describes AsPbW after structural relaxation. The functional is PBE.

Results
Fermi-level density of states   0.97 states/eV/cell
Energy above the lowest structure with this stoichiometry   138 meV/atom
ΔE_f   0.51 eV/atom

Cell and atoms, written as POSCAR:
```
AsPbW
1.0
-7.5962 -3.1989 1.3275
-7.2474 -3.4125 -1.6811
0.5747 -2.7467 1.1594
W As Pb
1 1 1
Cartesian
-9.4912 -5.2698 0.1716
-0.0579 -2.9052 1.0973
-4.1451 -3.9298 0.6963
```